VASP calculation (PBE) on an optimized crystal structure of Be2NbW.

Values from the calculation:
E above lowest polymorph = 0.646 eV/atom
Calculated total energy = -6.7936 eV/atom
Formation energy = 0.83 eV per atom
Space-group type = I-42d

POSCAR file:
```
Be2NbW
1.0
3.711 0.000 0.000
0.000 3.711 0.000
1.856 1.856 8.746
Be Nb W
4 2 2
Direct
0.676 0.125 0.250
0.074 0.625 0.250
0.375 0.324 0.750
0.875 0.926 0.750
0.500 0.500 0.000
0.250 0.750 0.500
0.750 0.250 0.500
0.000 0.000 0.000
```